1.
# SrCSe2O

A geometry-optimized SrCSe2O structure (GGA-PBE, Alexandria via LeMat-Bulk).

Cell: 6.0526 5.3282 6.0526 Å, 90.00 90.00 90.00°
Each line ends with the local moment (μB).
Fractional coordinates of all 5 atoms:
Sr 0.0000 0.0000 0.0000  0.08
C 0.0000 0.5000 0.0000  1.07
O 0.5000 0.5000 0.5000  1.44
Se 0.0000 0.0000 0.5000  0.75
Se 0.5000 0.0000 0.0000  0.66

Properties
Total moment = 6.60 μB/f.u.
Theoretical density = 2.327 Mg/m³
Crystal system = tetragonal
Space-group type = No. 123
Calculated volume = 39.04 A^3/atom
Uncorrected energy = -2.77 eV per atom

=====

2.
# TeHSe

A geometry-optimized TeHSe structure (GGA-PBE, Alexandria via LeMat-Bulk).

Cell: 7.8136 9.8854 4.7980 Å, 123.63 67.45 69.68°
Fractional coordinates of all 6 atoms:
Te 0.2731 0.7565 0.4225
Te 0.7269 0.2435 0.5775
H 0.4539 0.7944 0.8966
H 0.5461 0.2056 0.1034
Se 0.5307 0.8146 0.5905
Se 0.4693 0.1854 0.4095

Properties
Total moment = 0.00 μB/f.u.
Theoretical density = 3.527 Mg/m³
Crystal system = triclinic
Space-group type = No. 2
Calculated volume = 32.57 A^3/atom
Uncorrected energy = -3.27 eV per atom

=====

3.
# TmCu3Pt4

A geometry-optimized TmCu3Pt4 structure (GGA-PBE, Alexandria via LeMat-Bulk).

Cell: 4.7532 5.8054 8.9790 Å, 90.00 90.00 90.00°
Fractional coordinates of all 16 atoms:
Tm 0.0000 0.5000 0.0000
Tm 0.0000 0.5000 0.5000
Pt 0.5000 0.7601 0.0000
Pt 0.5000 0.7601 0.5000
Pt 0.5000 0.2399 0.0000
Pt 0.5000 0.2399 0.5000
Pt 0.1400 0.7684 0.7500
Pt 0.8600 0.7684 0.2500
Pt 0.8600 0.2316 0.2500
Pt 0.1400 0.2316 0.7500
Cu 0.0000 0.0000 0.0000
Cu 0.0000 0.0000 0.5000
Cu 0.6506 0.0000 0.7500
Cu 0.3494 0.0000 0.2500
Cu 0.5973 0.5000 0.7500
Cu 0.4027 0.5000 0.2500

Properties
Total moment = 0.00 μB/f.u.
Theoretical density = 15.279 Mg/m³
Crystal system = orthorhombic
Space-group type = No. 51
Calculated volume = 15.49 A^3/atom
Energy relative to the elements = -464 meV/atom

=====

4.
# KWCl2

A geometry-optimized KWCl2 structure (GGA-PBE, Alexandria via LeMat-Bulk).

Cell: 7.5360 7.5360 4.3189 Å, 78.34 78.34 25.07°
Each line ends with the local moment (μB).
Fractional coordinates of all 4 atoms:
K 0.5403 0.5403 0.5067  0.02
W 0.2670 0.2670 0.2011  2.68
Cl 0.9437 0.9437 0.0744  0.06
Cl 0.7490 0.7490 0.7178  0.00

Properties
Total moment = 3.87 μB/f.u.
Theoretical density = 4.798 Mg/m³
Crystal system = monoclinic
Space-group type = No. 8
Calculated volume = 25.42 A^3/atom
Uncorrected energy = -4.24 eV per atom

=====

5.
# HoTmGaSe

A geometry-optimized HoTmGaSe structure (GGA-PBE, Alexandria via LeMat-Bulk).

Cell: 3.9177 3.9177 7.6059 Å, 75.08 75.08 60.00°
Fractional coordinates of all 4 atoms:
Ho 0.7510 0.7510 0.7469
Tm 0.2489 0.2489 0.2534
Ga 0.9993 0.9993 0.0022
Se 0.5008 0.5008 0.4975

Properties
Total moment = 0.00 μB/f.u.
Theoretical density = 8.302 Mg/m³
Crystal system = trigonal
Space-group type = No. 160
Calculated volume = 24.13 A^3/atom
Uncorrected energy = -5.03 eV per atom

=====

6.
# P2PdPbO

A geometry-optimized P2PdPbO structure (GGA-PBE, Alexandria via LeMat-Bulk).

Cell: 4.8557 4.8557 3.9776 Å, 90.00 90.00 90.00°
Fractional coordinates of all 5 atoms:
Pb 0.5000 0.5000 0.5000
P 0.0000 0.5000 0.0000
P 0.5000 0.0000 0.0000
O 0.0000 0.0000 0.5000
Pd 0.0000 0.0000 0.0000

Properties
Total moment = 0.00 μB/f.u.
Theoretical density = 6.933 Mg/m³
Crystal system = tetragonal
Space-group type = No. 123
Calculated volume = 18.76 A^3/atom
Uncorrected energy = -4.60 eV per atom

=====

7.
# TbDy6Zr

A geometry-optimized TbDy6Zr structure (GGA-PBE, Alexandria via LeMat-Bulk).

Cell: 6.6788 6.3698 7.0442 Å, 103.25 57.96 91.67°
Fractional coordinates of all 8 atoms:
Tb 0.0000 0.5000 0.0000
Dy 0.0801 0.7452 0.5195
Dy 0.5591 0.7751 0.5396
Dy 0.4409 0.2249 0.4604
Dy 0.9199 0.2548 0.4805
Dy 0.5382 0.7585 0.0158
Dy 0.4618 0.2415 0.9842
Zr 0.0000 0.0000 0.0000

Properties
Total moment = 0.00 μB/f.u.
Theoretical density = 8.279 Mg/m³
Crystal system = triclinic
Space-group type = No. 2
Calculated volume = 30.72 A^3/atom
Energy relative to the elements = 241 meV/atom

=====

8.
# PmEr2ZrAs4

A geometry-optimized PmEr2ZrAs4 structure (GGA-PBE, Alexandria via LeMat-Bulk).

Cell: 4.0579 7.0364 7.0219 Å, 109.28 90.00 90.00°
Fractional coordinates of all 8 atoms:
Pm 0.5000 0.5000 0.0000
Er 0.5000 0.0000 0.5000
Er 0.0000 0.5000 0.5000
Zr 0.0000 0.0000 0.0000
As 0.5000 0.2384 0.2450
As 0.5000 0.7617 0.7550
As 0.0000 0.2386 0.7478
As 0.0000 0.7614 0.2522

Properties
Total moment = 0.00 μB/f.u.
Theoretical density = 7.637 Mg/m³
Crystal system = monoclinic
Space-group type = No. 10
Calculated volume = 23.66 A^3/atom
Energy relative to the elements = -1404 meV/atom

=====

9.
# Na2TlRhF6

A geometry-optimized Na2TlRhF6 structure (GGA-PBE, Alexandria via LeMat-Bulk).

Cell: 5.8993 5.8993 6.3932 Å, 62.54 62.52 59.98°
Each line ends with the local moment (μB).
Fractional coordinates of all 10 atoms:
Na 0.5290 0.5289 0.4134  0.00
Na 0.0057 0.0058 0.9826  0.00
Tl 0.8030 0.8029 0.5909  0.00
Rh 0.3284 0.3283 0.0150  0.10
F 0.5436 0.2749 0.2177  0.01
F 0.2747 0.9640 0.2180  0.01
F 0.9639 0.5438 0.2179  0.01
F 0.3625 0.6932 0.7864  0.00
F 0.6934 0.1573 0.7866  0.00
F 0.1575 0.3625 0.7867  0.00

Properties
Total moment = 0.13 μB/f.u.
Theoretical density = 4.759 Mg/m³
Crystal system = trigonal
Space-group type = No. 146
Calculated volume = 16.30 A^3/atom
Uncorrected energy = -4.47 eV per atom

=====

10.
# AcLaCuPd

A geometry-optimized AcLaCuPd structure (GGA-PBE, Alexandria via LeMat-Bulk).

Cell: 5.2917 5.2917 5.2917 Å, 60.00 60.00 60.00°
Fractional coordinates of all 4 atoms:
Ac 0.0000 0.0000 0.0000
Cu 0.2500 0.2500 0.2500
Pd 0.7500 0.7500 0.7500
La 0.5000 0.5000 0.5000

Properties
Total moment = 0.00 μB/f.u.
Theoretical density = 8.492 Mg/m³
Crystal system = cubic
Space-group type = No. 216
Calculated volume = 26.20 A^3/atom
Energy relative to the elements = -409 meV/atom

=====

11.
# CePaTiN3

A geometry-optimized CePaTiN3 structure (GGA-PBE, Alexandria via LeMat-Bulk).

Cell: 3.2991 7.2119 7.9832 Å, 87.61 90.00 90.00°
Fractional coordinates of all 12 atoms:
Ce 0.7500 0.8835 0.8387
Ce 0.2500 0.1165 0.1613
Pa 0.2500 0.6056 0.1712
Pa 0.7500 0.3944 0.8288
Ti 0.2500 0.1439 0.5604
Ti 0.7500 0.8561 0.4396
N 0.2500 0.8675 0.5914
N 0.7500 0.8370 0.1679
N 0.7500 0.3853 0.1043
N 0.7500 0.1325 0.4086
N 0.2500 0.6147 0.8957
N 0.2500 0.1630 0.8321

Properties
Total moment = 0.00 μB/f.u.
Theoretical density = 8.068 Mg/m³
Crystal system = monoclinic
Space-group type = No. 11
Calculated volume = 15.81 A^3/atom
Uncorrected energy = -9.33 eV per atom

=====

12.
# FeReAs4

A geometry-optimized FeReAs4 structure (GGA-PBE, Alexandria via LeMat-Bulk).

Cell: 5.3055 5.3055 5.3055 Å, 60.00 60.00 60.00°
Each line ends with the local moment (μB).
Fractional coordinates of all 6 atoms:
Fe 0.7500 0.7500 0.7500  3.00
Re 0.0000 0.0000 0.0000  -0.34
As 0.8759 0.3747 0.3747  -0.02
As 0.3747 0.3747 0.8759  -0.02
As 0.3747 0.8759 0.3747  -0.02
As 0.3747 0.3747 0.3747  -0.02

Properties
Total moment = 2.47 μB/f.u.
Theoretical density = 8.519 Mg/m³
Crystal system = cubic
Space-group type = No. 216
Calculated volume = 17.60 A^3/atom
Energy relative to the elements = 1145 meV/atom